TbHoScRh: optimized geometry, PBE.

Calculated values
Crystal system   cubic
Formation energy   -201.7 meV per atom

```
data_TbHoScRh
_chemical_formula_sum 'Tb1 Ho1 Sc1 Rh1'
_cell_length_a 5.067
_cell_length_b 5.067
_cell_length_c 5.067
_cell_angle_alpha 60.00
_cell_angle_beta 60.00
_cell_angle_gamma 60.00
_symmetry_space_group_name_H-M 'P 1'
_symmetry_Int_Tables_number 1
_symmetry_space_group_name_Hall 'P 1'
loop_
_atom_site_label
_atom_site_type_symbol
_atom_site_fract_x
_atom_site_fract_y
_atom_site_fract_z
Sc1 Sc 0.000 0.000 0.000
Tb1 Tb 0.250 0.250 0.250
Rh1 Rh 0.500 0.500 0.500
Ho1 Ho 0.750 0.750 0.750
```